# 1
Entry from Alexandria via LeMat-Bulk: a relaxed structure of PuNp2Ga9 (PBE-GGA).

```
12
Lattice="4.242 0.000 0.000 0.000 4.242 0.000 0.000 0.000 12.746" Properties=species:S:1:pos:R:3 pbc="T T T"
Pu 0.000 0.000 0.000
Np 0.000 0.000 4.230
Np 0.000 0.000 8.515
Ga 0.000 2.121 2.088
Ga 0.000 2.121 6.373
Ga 0.000 2.121 10.658
Ga 2.121 0.000 2.088
Ga 2.121 0.000 6.373
Ga 2.121 0.000 10.658
Ga 2.121 2.121 0.000
Ga 2.121 2.121 4.228
Ga 2.121 2.121 8.518
```

Properties
- energy above the lowest structure with this stoichiometry (kJ/mol of formula units) = 73.1
- magnetic moment (μB per atom) = 0.662
- energy of formation (eV per atom) = -0.098
- volume (Å³/cell) = 229.4
- density of states at the Fermi level (states/eV/f.u.) = 25.4

# 2
Entry from Alexandria via LeMat-Bulk: a relaxed structure of Pu2NpGa (PBE-GGA).

```
4
Lattice="0.000 3.401 3.401 3.401 0.000 3.401 3.401 3.401 0.000" Properties=species:S:1:pos:R:3 pbc="T T T"
Pu 1.701 1.701 1.701
Pu 5.102 5.102 5.102
Np 0.000 0.000 0.000
Ga 3.401 3.401 3.401
```

Properties
- energy above the lowest structure with this stoichiometry (kJ/mol of formula units) = 95.6
- magnetic moment (μB per atom) = 1.752
- energy of formation (eV per atom) = 0.171
- volume (Å³/cell) = 78.7
- density of states at the Fermi level (states/eV/f.u.) = 17.2

# 3
Entry from Alexandria via LeMat-Bulk: a relaxed structure of Pu2NpGa6 (PBE-GGA).

```
9
Lattice="8.037 0.000 0.000 -4.018 6.960 0.000 0.000 0.000 3.210" Properties=species:S:1:pos:R:3 pbc="T T T"
Pu 0.000 4.640 0.000
Pu 4.018 2.320 0.000
Np 0.000 0.000 0.000
Ga -1.338 2.317 1.605
Ga -2.681 4.643 1.605
Ga 2.676 0.000 1.605
Ga 1.338 2.317 1.605
Ga 5.361 0.000 1.605
Ga 2.681 4.643 1.605
```

Properties
- magnetic moment (μB per atom) = 1.662
- energy of formation (eV per atom) = -0.293
- volume (Å³/cell) = 179.6
- density of states at the Fermi level (states/eV/f.u.) = 23.4

# 4
Entry from Alexandria via LeMat-Bulk: a relaxed structure of PuNp4Ga15 (PBE-GGA).

```
20
Lattice="5.515 0.000 0.000 -2.223 5.774 0.000 -2.218 -0.974 12.220" Properties=species:S:1:pos:R:3 pbc="T T T"
Pu 0.000 0.000 0.000
Np -2.223 0.441 9.700
Np -2.220 1.734 7.330
Np 3.294 3.065 4.890
Np 3.296 4.358 2.520
Ga -1.112 2.887 0.000
Ga -3.325 4.622 7.319
Ga -3.331 3.308 9.758
Ga -0.591 2.596 11.023
Ga 1.649 0.858 3.630
Ga 0.536 3.717 3.687
Ga 0.536 5.071 1.243
Ga 1.649 -0.487 6.110
Ga 0.537 2.400 6.110
Ga 0.538 -0.271 10.977
Ga 0.538 1.082 8.533
Ga -0.575 3.941 8.590
Ga 1.665 2.203 1.196
Ga 4.405 1.491 2.462
Ga 4.399 0.177 4.901
```

Properties
- magnetic moment (μB per atom) = 1.040
- energy of formation (eV per atom) = -0.120
- volume (Å³/cell) = 389.1
- density of states at the Fermi level (states/eV/f.u.) = 24.8

# 5
Entry from Alexandria via LeMat-Bulk: a relaxed structure of Pu2NpGa (PBE-GGA).

```
4
Lattice="1.583 0.914 11.028 -1.583 0.914 11.028 0.000 -1.828 11.028" Properties=species:S:1:pos:R:3 pbc="T T T"
Pu 0.000 0.000 2.984
Pu 0.000 0.000 30.100
Np 0.000 0.000 16.542
Ga 0.000 0.000 0.000
```

Properties
- energy above the lowest structure with this stoichiometry (kJ/mol of formula units) = 184.4
- magnetic moment (μB per atom) = 1.909
- energy of formation (eV per atom) = 0.401
- volume (Å³/cell) = 95.7
- density of states at the Fermi level (states/eV/f.u.) = 16.1

# 6
Entry from Alexandria via LeMat-Bulk: a relaxed structure of PuNp2Ga9 (PBE-GGA).

```
12
Lattice="2.740 1.582 8.894 -2.740 1.582 8.894 0.000 -3.164 8.894" Properties=species:S:1:pos:R:3 pbc="T T T"
Pu 0.000 0.000 0.000
Np 0.000 0.000 3.819
Np 0.000 0.000 22.863
Ga -1.401 -0.809 11.145
Ga 0.000 0.000 8.951
Ga 0.000 -1.617 15.537
Ga -1.401 0.809 15.537
Ga 0.000 0.000 13.341
Ga 1.401 -0.809 11.145
Ga 0.000 1.617 11.145
Ga 0.000 0.000 17.730
Ga 1.401 0.809 15.537
```

Properties
- energy above the lowest structure with this stoichiometry (kJ/mol of formula units) = 0.0
- magnetic moment (μB per atom) = 0.250
- energy of formation (eV per atom) = -0.161
- volume (Å³/cell) = 231.3
- density of states at the Fermi level (states/eV/f.u.) = 25.4

# 7
Entry from Alexandria via LeMat-Bulk: a relaxed structure of PuNpGa (PBE-GGA).

```
12
Lattice="5.076 0.000 0.000 0.000 5.861 0.000 -3.296 0.000 7.428" Properties=species:S:1:pos:R:3 pbc="T T T"
Pu 0.808 0.803 0.352
Pu -0.840 2.127 4.066
Pu 2.620 3.734 3.362
Pu 0.972 5.058 7.076
Np -0.777 0.471 5.977
Np 0.871 2.460 2.263
Np 0.909 3.401 5.165
Np 2.557 5.391 1.451
Ga -1.651 3.476 6.648
Ga -0.003 5.315 2.934
Ga 1.783 0.546 4.494
Ga 3.431 2.385 0.780
```

Properties
- energy above the lowest structure with this stoichiometry (kJ/mol of formula units) = 0.0
- magnetic moment (μB per atom) = 0.000
- energy of formation (eV per atom) = -0.096
- volume (Å³/cell) = 221.0
- density of states at the Fermi level (states/eV/f.u.) = 5.8

# 8
Entry from Alexandria via LeMat-Bulk: a relaxed structure of PuNpGa5 (PBE-GGA).

```
7
Lattice="4.774 0.000 0.000 0.000 4.774 0.000 0.000 0.000 6.748" Properties=species:S:1:pos:R:3 pbc="T T T"
Pu 0.000 0.000 0.000
Np 2.387 2.387 3.374
Ga 0.000 2.387 1.754
Ga 0.000 2.387 4.994
Ga 2.387 0.000 1.754
Ga 2.387 0.000 4.994
Ga 2.387 2.387 0.000
```

Properties
- magnetic moment (μB per atom) = 1.313
- energy of formation (eV per atom) = 0.037
- volume (Å³/cell) = 153.8
- density of states at the Fermi level (states/eV/f.u.) = 17.3

# 9
Entry from Alexandria via LeMat-Bulk: a relaxed structure of PuNpGa (PBE-GGA).

```
3
Lattice="5.015 0.000 0.000 -2.507 4.343 0.000 0.000 0.000 2.813" Properties=species:S:1:pos:R:3 pbc="T T T"
Pu 0.000 0.000 0.000
Np 0.000 2.895 1.649
Ga 2.507 1.448 0.710
```

Properties
- energy above the lowest structure with this stoichiometry (kJ/mol of formula units) = 36.0
- magnetic moment (μB per atom) = 0.503
- energy of formation (eV per atom) = 0.028
- volume (Å³/cell) = 61.3
- density of states at the Fermi level (states/eV/f.u.) = 9.0

# 10
Entry from Alexandria via LeMat-Bulk: a relaxed structure of Pu4Np2Ga3 (PBE-GGA).

```
18
Lattice="4.860 -7.199 0.000 4.860 7.199 0.000 -0.285 0.000 4.688" Properties=species:S:1:pos:R:3 pbc="T T T"
Pu 3.804 4.656 2.669
Pu 5.488 4.656 4.363
Pu 3.512 0.504 3.183
Pu 3.655 -0.504 0.839
Pu 5.780 0.504 3.849
Pu 5.923 -0.504 1.505
Pu 3.946 -4.656 0.325
Pu 5.631 -4.656 2.019
Np 2.586 2.831 3.651
Np 2.729 -2.831 1.307
Np 6.706 2.831 3.381
Np 6.849 -2.831 1.037
Ga 0.864 0.622 4.380
Ga 1.007 -0.622 2.036
Ga 4.789 2.287 1.172
Ga 4.646 -2.287 3.516
Ga 8.428 0.622 2.652
Ga 8.571 -0.622 0.308
```

Properties
- magnetic moment (μB per atom) = 0.126
- energy of formation (eV per atom) = 0.018
- volume (Å³/cell) = 328.0
- density of states at the Fermi level (states/eV/f.u.) = 14.6

# 11
Entry from Alexandria via LeMat-Bulk: a relaxed structure of Pu2NpGa (PBE-GGA).

```
8
Lattice="4.436 0.000 0.000 0.000 4.436 0.000 0.000 0.000 8.157" Properties=species:S:1:pos:R:3 pbc="T T T"
Pu 1.109 3.327 0.000
Pu 1.109 3.327 4.079
Pu 3.327 1.109 0.000
Pu 3.327 1.109 4.079
Np 1.109 1.109 1.220
Np 3.327 3.327 6.937
Ga 1.109 1.109 6.154
Ga 3.327 3.327 2.004
```

Properties
- energy above the lowest structure with this stoichiometry (kJ/mol of formula units) = 0.0
- magnetic moment (μB per atom) = 1.304
- energy of formation (eV per atom) = -0.077
- volume (Å³/cell) = 160.5
- density of states at the Fermi level (states/eV/f.u.) = 9.9

# 12
Entry from Alexandria via LeMat-Bulk: a relaxed structure of Pu2NpGa (PBE-GGA).

```
4
Lattice="4.556 0.000 0.000 0.000 4.556 0.000 0.000 0.000 4.507" Properties=species:S:1:pos:R:3 pbc="T T T"
Pu 0.000 2.278 0.000
Pu 2.278 0.000 0.000
Np 0.000 0.000 2.254
Ga 2.278 2.278 2.254
```

Properties
- energy above the lowest structure with this stoichiometry (kJ/mol of formula units) = 50.4
- magnetic moment (μB per atom) = 3.922
- energy of formation (eV per atom) = 0.054
- volume (Å³/cell) = 93.6
- density of states at the Fermi level (states/eV/f.u.) = 12.6